# 1
A relaxed CeBe2GaPd5 crystal, computed with GGA-PBE.

Output
The density comes out at 8.990 g/cm3. As for the space group: P4/mmm. As for the formation energy: -0.507 eV per atom.

a b c (Å): 4.440 4.440 7.122
angles (deg): 90.00 90.00 90.00
Sites, in units of the cell vectors:
Ce1 0.000 0.000 0.000
Be1 0.500 0.500 0.335
Be2 0.500 0.500 0.665
Ga1 0.000 0.000 0.500
Pd1 0.000 0.500 0.293
Pd2 0.000 0.500 0.707
Pd3 0.500 0.000 0.293
Pd4 0.500 0.000 0.707
Pd5 0.500 0.500 0.000

=====

# 2
A relaxed Sr2ZnSb4Au3 crystal, computed with GGA-PBE.

Output
The density comes out at 8.267 g/cm3. As for the space group: P-4m2. As for the uncorrected formation energy: -504 meV/atom.

a b c (Å): 4.790 4.790 11.541
angles (deg): 90.00 90.00 90.00
Sites, in units of the cell vectors:
Sr1 0.000 0.500 0.244
Sr2 0.500 0.000 0.756
Zn1 0.500 0.500 0.000
Sb1 0.000 0.000 0.500
Sb2 0.000 0.500 0.872
Sb3 0.500 0.000 0.128
Sb4 0.500 0.500 0.500
Au1 0.000 0.000 0.000
Au2 0.000 0.500 0.640
Au3 0.500 0.000 0.360

=====

# 3
A relaxed KOsCl2 crystal, computed with GGA-PBE.

Output
The density comes out at 4.704 g/cm3. The energy above the most stable polymorph in this dataset is 1.102 eV/atom. As for the space group: F-43m. As for the uncorrected formation energy: 964 meV/atom.

a b c (Å): 7.512 7.512 7.512
angles (deg): 90.00 90.00 90.00
Sites, in units of the cell vectors:
K1 0.000 0.000 0.000
K2 0.000 0.500 0.500
K3 0.500 0.000 0.500
K4 0.500 0.500 0.000
Os1 0.250 0.250 0.750
Os2 0.250 0.750 0.250
Os3 0.750 0.250 0.250
Os4 0.750 0.750 0.750
Cl1 0.000 0.000 0.500
Cl2 0.000 0.500 0.000
Cl3 0.250 0.250 0.250
Cl4 0.250 0.750 0.750
Cl5 0.500 0.000 0.000
Cl6 0.500 0.500 0.500
Cl7 0.750 0.250 0.750
Cl8 0.750 0.750 0.250